First-principles (PBE-GGA) data for a relaxed structure of Y2BeAu, as listed in Alexandria via LeMat-Bulk.

Results
E_form (eV/atom): -0.1067
SG: P2/m, No. 10
Mass density (g/cm³): 6.39

abc: 4.474 3.837 5.896
angles: 90.00 99.60 90.00
Fractional positions:
Y  0.000  0.000  0.000
Y  0.500  0.500  0.500
Be  0.000  0.000  0.500
Au  0.500  0.500  0.000